# Ac2GaGe, relaxed, DFT PBE-GGA
# Formation enthalpy at 0 K   -48 kJ per mole of atoms
# Crystal system   tetragonal
data_Ac2GaGe
_cell_length_a 5.323
_cell_length_b 5.323
_cell_length_c 4.203
_cell_angle_alpha 90.00
_cell_angle_beta 90.00
_cell_angle_gamma 90.00
_space_group_name_H-M_alt 'P 4/m m m'
_space_group_IT_number 123
_space_group_name_Hall '-P 4 2'
loop_
_atom_site_label
_atom_site_fract_x
_atom_site_fract_y
_atom_site_fract_z
_atom_site_occupancy
Ac1 0.000 0.500 0.000 1
Ga1 0.000 0.000 0.500 1
Ge1 0.500 0.500 0.500 1

---

# Pa2Se2SO2, relaxed, DFT PBE-GGA
# Crystal system   trigonal
# Formation energy without anion corrections   -2.2697 eV/atom
data_Pa2Se2SO2
_cell_length_a 3.8608
_cell_length_b 3.8608
_cell_length_c 33.9415
_cell_angle_alpha 90.00
_cell_angle_beta 90.00
_cell_angle_gamma 120.00
_space_group_name_H-M_alt 'R -3 m'
_space_group_IT_number 166
_space_group_name_Hall '-R 3 2"'
loop_
_atom_site_label
_atom_site_fract_x
_atom_site_fract_y
_atom_site_fract_z
_atom_site_occupancy
Pa1 0.0000 0.0000 0.1043 1
Se1 0.0000 0.0000 0.3831 1
S1 0.0000 0.0000 0.5000 1
O1 0.0000 0.0000 0.2241 1

---

| no. | total magnetization (μB per atom) |
| --- | --- |
| 1 | 0.000 |
| 2 | 0.000 |